Na2BAuO4 PBE relaxed; uncorrected formation energy = -1.3297 eV/atom
1.0
-3.494 -0.037 -3.436
1.916 -4.479 0.536
-1.873 1.342 4.325
O B Au Na
4 1 1 2
direct
0.973 0.494 0.183
0.311 0.817 0.790
0.689 0.480 0.506
0.027 0.210 0.520
0.000 0.500 0.500
0.500 0.250 0.750
0.000 0.000 0.000
0.500 0.750 0.250